Entry 1:
CaPb5 | SCAN | single point on PBEsol structure

Lattice parameters (Å, degrees): 12.4278 3.6638 8.0513 90.00 106.75 90.00
Fractional positions:
Ca: 0.0000 0.0000 0.0000
Ca: 0.5000 0.5000 0.0000
Pb: 0.0434 0.0000 0.5919
Pb: 0.1695 0.5000 0.3388
Pb: 0.2124 0.5000 0.9289
Pb: 0.3249 0.0000 0.6689
Pb: 0.3769 0.0000 0.2584
Pb: 0.5434 0.5000 0.5919
Pb: 0.6695 0.0000 0.3388
Pb: 0.7124 0.0000 0.9289
Pb: 0.8249 0.5000 0.6689
Pb: 0.8769 0.5000 0.2584

Results
ΔE_f: -1.11 eV per formula unit
Calculated total energy: -64.95 eV per atom
M_tot: 0.00 μB/f.u.

=====

Entry 2:
Ca5Pb4 | SCAN | single point on PBEsol structure

Lattice parameters (Å, degrees): 9.3955 9.3955 6.9339 90.00 90.00 120.00
Fractional positions:
Ca: 0.0000 0.2918 0.2500
Ca: 0.0000 0.7082 0.7500
Ca: 0.2918 0.0000 0.2500
Ca: 0.2918 0.2918 0.7500
Ca: 0.3333 0.6667 0.0000
Ca: 0.3333 0.6667 0.5000
Ca: 0.6667 0.3333 0.0000
Ca: 0.6667 0.3333 0.5000
Ca: 0.7082 0.0000 0.7500
Ca: 0.7082 0.7082 0.2500
Pb: 0.0000 0.0000 0.0000
Pb: 0.0000 0.0000 0.5000
Pb: 0.0000 0.3708 0.7500
Pb: 0.0000 0.6292 0.2500
Pb: 0.3708 0.0000 0.7500
Pb: 0.3708 0.3708 0.2500
Pb: 0.6292 0.0000 0.2500
Pb: 0.6292 0.6292 0.7500

Results
ΔE_f: -6.34 eV per formula unit
Calculated total energy: -39.75 eV per atom
M_tot: 0.00 μB/f.u.

=====

Entry 3:
CaPb3 | SCAN | single point on PBEsol structure

Lattice parameters (Å, degrees): 3.6824 4.6910 6.7477 90.00 90.00 90.00
Fractional positions:
Ca: 0.0000 0.0000 0.0000
Pb: 0.0000 0.0000 0.5000
Pb: 0.5000 0.5000 0.2493
Pb: 0.5000 0.5000 0.7507

Results
ΔE_f: -1.35 eV per formula unit
Calculated total energy: -59.59 eV per atom
M_tot: 0.00 μB/f.u.

=====

Entry 4:
Ca2Pd2Pb | SCAN | single point on PBEsol structure

Lattice parameters (Å, degrees): 5.5248 5.5248 7.9725 90.00 90.00 90.00
Fractional positions:
Ca: 0.0000 0.5000 0.2500
Ca: 0.0000 0.5000 0.7500
Ca: 0.5000 0.0000 0.2500
Ca: 0.5000 0.0000 0.7500
Pd: 0.0000 0.0000 0.1607
Pd: 0.0000 0.0000 0.8393
Pd: 0.5000 0.5000 0.3393
Pd: 0.5000 0.5000 0.6607
Pb: 0.0000 0.0000 0.5000
Pb: 0.5000 0.5000 0.0000

Results
ΔE_f: -2.76 eV per formula unit
Calculated total energy: -32.68 eV per atom
M_tot: 0.00 μB/f.u.

=====

Entry 5:
CaPd2Pb2 | SCAN | single point on PBEsol structure

Lattice parameters (Å, degrees): 7.8324 7.8324 3.5380 90.00 90.00 90.00
Fractional positions:
Ca: 0.0000 0.0000 0.0000
Ca: 0.5000 0.5000 0.0000
Pd: 0.1304 0.3696 0.0000
Pd: 0.3696 0.8696 0.0000
Pd: 0.6304 0.1304 0.0000
Pd: 0.8696 0.6304 0.0000
Pb: 0.1610 0.6610 0.5000
Pb: 0.3390 0.1610 0.5000
Pb: 0.6610 0.8390 0.5000
Pb: 0.8390 0.3390 0.5000

Results
ΔE_f: -2.10 eV per formula unit
Calculated total energy: -45.77 eV per atom
M_tot: 0.00 μB/f.u.

=====

Entry 6:
Ca2PdPb2 | SCAN | single point on PBEsol structure

Lattice parameters (Å, degrees): 7.3212 7.3212 4.8595 90.00 90.00 90.00
Fractional positions:
Ca: 0.1653 0.3347 0.0000
Ca: 0.3347 0.8347 0.0000
Ca: 0.6653 0.1653 0.0000
Ca: 0.8347 0.6653 0.0000
Pd: 0.0000 0.0000 0.5000
Pd: 0.5000 0.5000 0.5000
Pb: 0.1475 0.6475 0.5000
Pb: 0.3525 0.1475 0.5000
Pb: 0.6475 0.8525 0.5000
Pb: 0.8525 0.3525 0.5000

Results
ΔE_f: -3.19 eV per formula unit
Calculated total energy: -41.37 eV per atom
M_tot: 0.00 μB/f.u.

=====

Entry 7:
CaPt2Pb | SCAN | single point on PBEsol structure

Lattice parameters (Å, degrees): 4.5690 4.5690 3.7422 90.00 90.00 90.00
Fractional positions:
Ca: 0.0000 0.0000 0.0000
Pt: 0.0000 0.5000 0.5000
Pt: 0.5000 0.0000 0.5000
Pb: 0.5000 0.5000 0.0000

Results
ΔE_f: -2.06 eV per formula unit
Calculated total energy: -56.97 eV per atom
M_tot: 0.00 μB/f.u.

=====

Entry 8:
CaPt3Pb | SCAN | single point on PBEsol structure

Lattice parameters (Å, degrees): 5.0211 5.0211 5.0211 90.00 90.00 90.00
Fractional positions:
Ca: 0.0000 0.0000 0.0000
Pt: 0.0000 0.5000 0.5000
Pt: 0.5000 0.0000 0.5000
Pt: 0.5000 0.5000 0.0000
Pb: 0.5000 0.5000 0.5000

Results
ΔE_f: 1.91 eV per formula unit
Calculated total energy: -58.82 eV per atom
M_tot: 0.00 μB/f.u.

=====

Entry 9:
CaPtPb | SCAN | single point on PBEsol structure

Lattice parameters (Å, degrees): 7.1718 4.6553 8.2268 90.00 90.00 90.00
Fractional positions:
Ca: 0.0187 0.2500 0.1912
Ca: 0.4813 0.7500 0.6912
Ca: 0.5187 0.2500 0.3088
Ca: 0.9813 0.7500 0.8088
Pt: 0.2258 0.7500 0.3967
Pt: 0.2742 0.2500 0.8967
Pt: 0.7258 0.7500 0.1033
Pt: 0.7742 0.2500 0.6033
Pb: 0.1723 0.2500 0.5748
Pb: 0.3277 0.7500 0.0748
Pb: 0.6723 0.2500 0.9252
Pb: 0.8277 0.7500 0.4252

Results
ΔE_f: -2.57 eV per formula unit
Calculated total energy: -52.74 eV per atom
M_tot: 0.00 μB/f.u.

=====

Entry 10:
RbCaPb3 | SCAN | single point on PBEsol structure

Lattice parameters (Å, degrees): 5.9369 5.9369 5.9369 90.00 90.00 90.00
Fractional positions:
Rb: 0.0000 0.0000 0.0000
Ca: 0.5000 0.5000 0.5000
Pb: 0.0000 0.0000 0.5000
Pb: 0.0000 0.5000 0.0000
Pb: 0.5000 0.0000 0.0000

Results
ΔE_f: 3.59 eV per formula unit
Calculated total energy: -50.83 eV per atom
M_tot: 0.00 μB/f.u.

=====

Entry 11:
RbCa2Pb2 | SCAN | single point on PBEsol structure

Lattice parameters (Å, degrees): 9.8666 9.8666 3.4633 90.00 90.00 90.00
Fractional positions:
Rb: 0.0000 0.0000 0.0000
Rb: 0.5000 0.5000 0.0000
Ca: 0.1272 0.3728 0.5000
Ca: 0.3728 0.8728 0.5000
Ca: 0.6272 0.1272 0.5000
Ca: 0.8728 0.6272 0.5000
Pb: 0.1692 0.6692 0.0000
Pb: 0.3308 0.1692 0.0000
Pb: 0.6692 0.8308 0.0000
Pb: 0.8308 0.3308 0.0000

Results
ΔE_f: -2.59 eV per formula unit
Calculated total energy: -38.84 eV per atom
M_tot: 0.00 μB/f.u.

=====

Entry 12:
RbCaTaPb2 | SCAN | single point on PBEsol structure

Lattice parameters (Å, degrees): 5.8481 5.8481 5.3401 90.00 90.00 90.00
Fractional positions:
Rb: 0.0000 0.0000 0.0000
Ca: 0.5000 0.5000 0.5000
Ta: 0.0000 0.0000 0.5000
Pb: 0.0000 0.5000 0.0000
Pb: 0.5000 0.0000 0.0000

Results
ΔE_f: 8.52 eV per formula unit
Calculated total energy: -48.01 eV per atom
M_tot: 3.61 μB/f.u.